First-principles (GGA-PBE) data for a geometry-optimized LiCeTmCr structure, as listed in Alexandria via LeMat-Bulk.

Calculated values
* total moment: 0.534 μB/atom
* calculated total energy: -5.249 eV per atom
* crystal system: cubic
* energy of formation from the pure elements: 91 kJ/mol of formula units
* mass density: 6.789 g cm⁻³
* calculated volume: 22.503 Å³ per atom

Lattice parameters (Å, degrees): 7.1141 7.1141 7.1141 90.00 90.00 90.00
Closest atoms and distances in Å follow each position.
Space group F-43m (No. 216)
Unique sites:
Li 0.0000 0.0000 0.0000  4 Ce 3.08, 4 Tm 3.08
Ce 0.2500 0.2500 0.2500  4 Cr 3.08, 4 Li 3.08
Tm 0.2500 0.2500 0.7500  4 Cr 3.08, 4 Li 3.08
Cr 0.0000 0.0000 0.5000  4 Ce 3.08, 4 Tm 3.08

***

First-principles (GGA-PBE) data for a geometry-optimized CeLuMgCr structure, as listed in Alexandria via LeMat-Bulk.

Calculated values
* total moment: 0.595 μB/atom
* calculated total energy: -5.218 eV per atom
* crystal system: cubic
* energy of formation from the pure elements: 77 kJ/mol of formula units
* mass density: 6.793 g cm⁻³
* calculated volume: 23.918 Å³ per atom

Lattice parameters (Å, degrees): 7.2602 7.2602 7.2602 90.00 90.00 90.00
Closest atoms and distances in Å follow each position.
Space group F-43m (No. 216)
Unique sites:
Ce 0.0000 0.0000 0.0000  4 Cr 3.14, 4 Mg 3.14
Lu 0.0000 0.0000 0.5000  4 Mg 3.14, 4 Cr 3.14
Mg 0.2500 0.2500 0.7500  4 Ce 3.14, 4 Lu 3.14
Cr 0.2500 0.2500 0.2500  4 Lu 3.14, 4 Ce 3.14

***

First-principles (GGA-PBE) data for a geometry-optimized CeMg14Cr structure, as listed in Alexandria via LeMat-Bulk.

Calculated values
* total moment: 0.168 μB/atom
* calculated total energy: -2.270 eV per atom
* excess energy over the best structure of this formula in the dataset: 0 kJ/mol of formula units
* crystal system: orthorhombic
* energy of formation from the pure elements: 151 kJ/mol of formula units
* mass density: 2.396 g cm⁻³
* calculated volume: 23.063 Å³ per atom

Lattice parameters (Å, degrees): 10.4016 6.2036 11.4372 90.00 90.00 90.00
Closest atoms and distances in Å follow each position.
Space group Amm2 (No. 38)
Unique sites:
Ce 0.0000 0.0000 0.0000  2 Cr 3.11, 10 Mg 3.23-3.27
Mg 0.0000 0.2437 0.2503  8 Mg 3.02-3.30, 1 Cr 3.07, 2 Ce 3.24-3.27
Mg 0.2300 0.0000 0.6432  1 Cr 3.01, 9 Mg 3.12-3.33
Mg 0.2514 0.2480 0.3998  10 Mg 3.08-3.33, 1 Cr 3.18, 1 Ce 3.25
Mg 0.2607 0.0000 0.1531  11 Mg 3.11-3.30, 1 Ce 3.23
Mg 0.5000 0.0000 0.4905  12 Mg 3.10-3.31
Mg 0.5000 0.0000 0.9873  12 Mg 3.10-3.28
Mg 0.5000 0.2459 0.7389  12 Mg 3.05-3.38
Cr 0.0000 0.0000 0.4836  8 Mg 3.01-3.18, 2 Ce 3.11